LiAsPdO | GGA-PBE | relaxed

Cell and atoms, written as POSCAR:
```
LiAsPdO
1.0
-1.560 -2.985 1.363
2.728 -2.019 -1.298
4.113 1.050 7.011
Li O As Pd
2 2 2 2
Direct
0.000 0.000 0.500
0.500 0.500 0.500
0.500 0.500 0.000
0.000 0.000 0.000
0.000 0.500 0.273
0.500 0.000 0.727
0.000 0.500 0.844
0.500 0.000 0.156
```

Computed properties:
Energy relative to the lowest polymorph listed for this composition (eV per atom): 0.647
Volume (Å³/atom): 13.5
SG: P4/nmm (129)